(a)
# MoRh3Cl GGA-PBE optimized geometry
# - total magnetization (μB/f.u.) = 3.0
# - DOS at the Fermi energy (states/eV/f.u.) = 6.0
data_MoRh3Cl
_symmetry_space_group_name_H-M 'P m -3 m'
_symmetry_Int_Tables_number 221
_symmetry_space_group_name_Hall '-P 4 2 3'
_cell_length_a 4.392
_cell_length_b 4.392
_cell_length_c 4.392
_cell_angle_alpha 90.00
_cell_angle_beta 90.00
_cell_angle_gamma 90.00
loop_
_atom_site_label
_atom_site_type_symbol
_atom_site_fract_x
_atom_site_fract_y
_atom_site_fract_z
Mo1 Mo 0.000 0.000 0.000
Rh1 Rh 0.000 0.500 0.500
Cl1 Cl 0.500 0.500 0.500

(b)
# MoRh3Cl GGA-PBE optimized geometry
# - total magnetization (μB/f.u.) = 0.0
# - DOS at the Fermi energy (states/eV/f.u.) = 8.2
data_MoRh3Cl
_symmetry_space_group_name_H-M 'P m -3 m'
_symmetry_Int_Tables_number 221
_symmetry_space_group_name_Hall '-P 4 2 3'
_cell_length_a 4.732
_cell_length_b 4.732
_cell_length_c 4.732
_cell_angle_alpha 90.00
_cell_angle_beta 90.00
_cell_angle_gamma 90.00
loop_
_atom_site_label
_atom_site_type_symbol
_atom_site_fract_x
_atom_site_fract_y
_atom_site_fract_z
Mo1 Mo 0.000 0.000 0.000
Rh1 Rh 0.000 0.000 0.500
Cl1 Cl 0.500 0.500 0.500

Energies relative to the minimum, meV per atom: (a) 0; (b) 199

(a)
# Mo3RhCl GGA-PBE optimized geometry
# - total magnetization (μB/f.u.) = 2.2
# - DOS at the Fermi energy (states/eV/f.u.) = 10.8
data_Mo3RhCl
_symmetry_space_group_name_H-M 'P m -3 m'
_symmetry_Int_Tables_number 221
_symmetry_space_group_name_Hall '-P 4 2 3'
_cell_length_a 4.791
_cell_length_b 4.791
_cell_length_c 4.791
_cell_angle_alpha 90.00
_cell_angle_beta 90.00
_cell_angle_gamma 90.00
loop_
_atom_site_label
_atom_site_type_symbol
_atom_site_fract_x
_atom_site_fract_y
_atom_site_fract_z
Mo1 Mo 0.000 0.000 0.500
Rh1 Rh 0.000 0.000 0.000
Cl1 Cl 0.500 0.500 0.500

(b)
# Mo3RhCl GGA-PBE optimized geometry
# - total magnetization (μB/f.u.) = 0.0
# - DOS at the Fermi energy (states/eV/f.u.) = 8.7
data_Mo3RhCl
_symmetry_space_group_name_H-M 'P m -3 m'
_symmetry_Int_Tables_number 221
_symmetry_space_group_name_Hall '-P 4 2 3'
_cell_length_a 4.365
_cell_length_b 4.365
_cell_length_c 4.365
_cell_angle_alpha 90.00
_cell_angle_beta 90.00
_cell_angle_gamma 90.00
loop_
_atom_site_label
_atom_site_type_symbol
_atom_site_fract_x
_atom_site_fract_y
_atom_site_fract_z
Mo1 Mo 0.000 0.000 0.500
Rh1 Rh 0.500 0.500 0.500
Cl1 Cl 0.000 0.000 0.000

Energies relative to the minimum, meV per atom: (a) 816; (b) 0

(a)
# MoRhS2Cl GGA-PBE optimized geometry
# - total magnetization (μB/f.u.) = 3.1
# - DOS at the Fermi energy (states/eV/f.u.) = 3.4
data_MoRhS2Cl
_symmetry_space_group_name_H-M 'P 4/m m m'
_symmetry_Int_Tables_number 123
_symmetry_space_group_name_Hall '-P 4 2'
_cell_length_a 4.686
_cell_length_b 4.686
_cell_length_c 4.608
_cell_angle_alpha 90.00
_cell_angle_beta 90.00
_cell_angle_gamma 90.00
loop_
_atom_site_label
_atom_site_type_symbol
_atom_site_fract_x
_atom_site_fract_y
_atom_site_fract_z
Mo1 Mo 0.000 0.000 0.000
Rh1 Rh 0.500 0.500 0.500
S1 S 0.000 0.500 0.500
Cl1 Cl 0.500 0.500 0.000

(b)
# MoRhS2Cl GGA-PBE optimized geometry
# - total magnetization (μB/f.u.) = 1.6
# - DOS at the Fermi energy (states/eV/f.u.) = 10.2
data_MoRhS2Cl
_symmetry_space_group_name_H-M 'P 4/m m m'
_symmetry_Int_Tables_number 123
_symmetry_space_group_name_Hall '-P 4 2'
_cell_length_a 4.642
_cell_length_b 4.642
_cell_length_c 4.834
_cell_angle_alpha 90.00
_cell_angle_beta 90.00
_cell_angle_gamma 90.00
loop_
_atom_site_label
_atom_site_type_symbol
_atom_site_fract_x
_atom_site_fract_y
_atom_site_fract_z
Mo1 Mo 0.000 0.000 0.000
Rh1 Rh 0.500 0.500 0.500
S1 S 0.000 0.500 0.000
Cl1 Cl 0.000 0.000 0.500

Energies relative to the minimum, meV per atom: (a) 159; (b) 0

(a)
# MoRuCl GGA-PBE optimized geometry
# - total magnetization (μB/f.u.) = 0.0
# - DOS at the Fermi energy (states/eV/f.u.) = 1.6
data_MoRuCl
_symmetry_space_group_name_H-M 'F -4 3 m'
_symmetry_Int_Tables_number 216
_symmetry_space_group_name_Hall 'F -4 2 3'
_cell_length_a 5.938
_cell_length_b 5.938
_cell_length_c 5.938
_cell_angle_alpha 90.00
_cell_angle_beta 90.00
_cell_angle_gamma 90.00
loop_
_atom_site_label
_atom_site_type_symbol
_atom_site_fract_x
_atom_site_fract_y
_atom_site_fract_z
Mo1 Mo 0.000 0.000 0.000
Ru1 Ru 0.250 0.250 0.250
Cl1 Cl 0.250 0.250 0.750

(b)
# MoRuCl GGA-PBE optimized geometry
# - total magnetization (μB/f.u.) = 0.0
# - DOS at the Fermi energy (states/eV/f.u.) = 2.7
data_MoRuCl
_symmetry_space_group_name_H-M 'P 3 m 1'
_symmetry_Int_Tables_number 156
_symmetry_space_group_name_Hall 'P 3 -2"'
_cell_length_a 4.1813
_cell_length_b 4.1813
_cell_length_c 2.9270
_cell_angle_alpha 90.00
_cell_angle_beta 90.00
_cell_angle_gamma 120.00
loop_
_atom_site_label
_atom_site_type_symbol
_atom_site_fract_x
_atom_site_fract_y
_atom_site_fract_z
Mo1 Mo 0.0000 0.0000 0.0000
Ru1 Ru 0.6667 0.3333 0.5005
Cl1 Cl 0.3333 0.6667 0.8562

(c)
# MoRuCl GGA-PBE optimized geometry
# - total magnetization (μB/f.u.) = 0.0
# - DOS at the Fermi energy (states/eV/f.u.) = 3.5
data_MoRuCl
_symmetry_space_group_name_H-M 'F m m 2'
_symmetry_Int_Tables_number 42
_symmetry_space_group_name_Hall 'F 2 -2'
_cell_length_a 3.070
_cell_length_b 5.028
_cell_length_c 12.942
_cell_angle_alpha 90.00
_cell_angle_beta 90.00
_cell_angle_gamma 90.00
loop_
_atom_site_label
_atom_site_type_symbol
_atom_site_fract_x
_atom_site_fract_y
_atom_site_fract_z
Mo1 Mo 0.000 0.000 0.000
Ru1 Ru 0.000 0.000 0.648
Cl1 Cl 0.000 0.000 0.336

Energies relative to the minimum, meV per atom: (a) 291; (b) 48; (c) 0

(a)
# MoRuCl GGA-PBE optimized geometry
# - total magnetization (μB/f.u.) = 0.0
# - DOS at the Fermi energy (states/eV/f.u.) = 1.8
data_MoRuCl
_symmetry_space_group_name_H-M 'P 3 m 1'
_symmetry_Int_Tables_number 156
_symmetry_space_group_name_Hall 'P 3 -2"'
_cell_length_a 2.9038
_cell_length_b 2.9038
_cell_length_c 6.4306
_cell_angle_alpha 90.00
_cell_angle_beta 90.00
_cell_angle_gamma 120.00
loop_
_atom_site_label
_atom_site_type_symbol
_atom_site_fract_x
_atom_site_fract_y
_atom_site_fract_z
Mo1 Mo 0.0000 0.0000 0.0000
Ru1 Ru 0.3333 0.6667 0.3141
Cl1 Cl 0.6667 0.3333 0.6970

(b)
# MoRuCl GGA-PBE optimized geometry
# - total magnetization (μB/f.u.) = 0.0
# - DOS at the Fermi energy (states/eV/f.u.) = 1.8
data_MoRuCl
_symmetry_space_group_name_H-M 'I 4 m m'
_symmetry_Int_Tables_number 107
_symmetry_space_group_name_Hall 'I 4 -2'
_cell_length_a 2.924
_cell_length_b 2.924
_cell_length_c 11.033
_cell_angle_alpha 90.00
_cell_angle_beta 90.00
_cell_angle_gamma 90.00
loop_
_atom_site_label
_atom_site_type_symbol
_atom_site_fract_x
_atom_site_fract_y
_atom_site_fract_z
Mo1 Mo 0.000 0.000 0.000
Ru1 Ru 0.000 0.000 0.357
Cl1 Cl 0.000 0.000 0.661

Energies relative to the minimum, meV per atom: (a) 0; (b) 34

(a)
# MoRuCl3 GGA-PBE optimized geometry
# - total magnetization (μB/f.u.) = 0.0
# - DOS at the Fermi energy (states/eV/f.u.) = 19.3
data_MoRuCl3
_symmetry_space_group_name_H-M 'P m -3 m'
_symmetry_Int_Tables_number 221
_symmetry_space_group_name_Hall '-P 4 2 3'
_cell_length_a 4.768
_cell_length_b 4.768
_cell_length_c 4.768
_cell_angle_alpha 90.00
_cell_angle_beta 90.00
_cell_angle_gamma 90.00
loop_
_atom_site_label
_atom_site_type_symbol
_atom_site_fract_x
_atom_site_fract_y
_atom_site_fract_z
Mo1 Mo 0.000 0.000 0.000
Ru1 Ru 0.500 0.500 0.500
Cl1 Cl 0.000 0.000 0.500

(b)
# MoRuCl3 GGA-PBE optimized geometry
# - total magnetization (μB/f.u.) = 3.6
# - DOS at the Fermi energy (states/eV/f.u.) = 6.1
data_MoRuCl3
_symmetry_space_group_name_H-M 'P m -3 m'
_symmetry_Int_Tables_number 221
_symmetry_space_group_name_Hall '-P 4 2 3'
_cell_length_a 4.821
_cell_length_b 4.821
_cell_length_c 4.821
_cell_angle_alpha 90.00
_cell_angle_beta 90.00
_cell_angle_gamma 90.00
loop_
_atom_site_label
_atom_site_type_symbol
_atom_site_fract_x
_atom_site_fract_y
_atom_site_fract_z
Mo1 Mo 0.000 0.000 0.000
Ru1 Ru 0.500 0.500 0.500
Cl1 Cl 0.000 0.500 0.500

Energies relative to the minimum, meV per atom: (a) 301; (b) 0

(a)
# Mo3RuCl GGA-PBE optimized geometry
# - total magnetization (μB/f.u.) = 0.0
# - DOS at the Fermi energy (states/eV/f.u.) = 6.4
data_Mo3RuCl
_symmetry_space_group_name_H-M 'P m -3 m'
_symmetry_Int_Tables_number 221
_symmetry_space_group_name_Hall '-P 4 2 3'
_cell_length_a 4.359
_cell_length_b 4.359
_cell_length_c 4.359
_cell_angle_alpha 90.00
_cell_angle_beta 90.00
_cell_angle_gamma 90.00
loop_
_atom_site_label
_atom_site_type_symbol
_atom_site_fract_x
_atom_site_fract_y
_atom_site_fract_z
Mo1 Mo 0.000 0.000 0.500
Ru1 Ru 0.500 0.500 0.500
Cl1 Cl 0.000 0.000 0.000

(b)
# Mo3RuCl GGA-PBE optimized geometry
# - total magnetization (μB/f.u.) = 1.2
# - DOS at the Fermi energy (states/eV/f.u.) = 9.6
data_Mo3RuCl
_symmetry_space_group_name_H-M 'P m -3 m'
_symmetry_Int_Tables_number 221
_symmetry_space_group_name_Hall '-P 4 2 3'
_cell_length_a 4.766
_cell_length_b 4.766
_cell_length_c 4.766
_cell_angle_alpha 90.00
_cell_angle_beta 90.00
_cell_angle_gamma 90.00
loop_
_atom_site_label
_atom_site_type_symbol
_atom_site_fract_x
_atom_site_fract_y
_atom_site_fract_z
Mo1 Mo 0.000 0.000 0.500
Ru1 Ru 0.000 0.000 0.000
Cl1 Cl 0.500 0.500 0.500

Energies relative to the minimum, meV per atom: (a) 0; (b) 634

(a)
# MoRuS2Cl GGA-PBE optimized geometry
# - total magnetization (μB/f.u.) = 2.4
# - DOS at the Fermi energy (states/eV/f.u.) = 4.8
data_MoRuS2Cl
_symmetry_space_group_name_H-M 'P 4/m m m'
_symmetry_Int_Tables_number 123
_symmetry_space_group_name_Hall '-P 4 2'
_cell_length_a 4.647
_cell_length_b 4.647
_cell_length_c 4.701
_cell_angle_alpha 90.00
_cell_angle_beta 90.00
_cell_angle_gamma 90.00
loop_
_atom_site_label
_atom_site_type_symbol
_atom_site_fract_x
_atom_site_fract_y
_atom_site_fract_z
Mo1 Mo 0.000 0.000 0.000
Ru1 Ru 0.500 0.500 0.500
S1 S 0.000 0.500 0.500
Cl1 Cl 0.500 0.500 0.000

(b)
# MoRuS2Cl GGA-PBE optimized geometry
# - total magnetization (μB/f.u.) = 3.3
# - DOS at the Fermi energy (states/eV/f.u.) = 4.5
data_MoRuS2Cl
_symmetry_space_group_name_H-M 'P 4/m m m'
_symmetry_Int_Tables_number 123
_symmetry_space_group_name_Hall '-P 4 2'
_cell_length_a 4.646
_cell_length_b 4.646
_cell_length_c 4.918
_cell_angle_alpha 90.00
_cell_angle_beta 90.00
_cell_angle_gamma 90.00
loop_
_atom_site_label
_atom_site_type_symbol
_atom_site_fract_x
_atom_site_fract_y
_atom_site_fract_z
Mo1 Mo 0.000 0.000 0.000
Ru1 Ru 0.500 0.500 0.500
S1 S 0.000 0.500 0.000
Cl1 Cl 0.000 0.000 0.500

Energies relative to the minimum, meV per atom: (a) 60; (b) 0